Record 1
AlCdSe2 | PBE | relaxed

Computed properties:
Fermi-level density of states   0.22 states/eV per atom
E_form (uncorrected)   -0.1901 eV per atom
Polymorph energy (0 for the lowest one)   336 meV/atom
SG   I-4m2
E   -12.39 eV for the cell shown

a = 7.9743 Å, b = 7.9743 Å, c = 7.9743 Å
α = 152.57°, β = 152.57°, γ = 39.18°
With the nearest neighbours (Å) after each atom.
Fractional coordinates of all 4 atoms:
1 Al 0.5000 0.5000 0.0000  4 Se 2.67
2 Se 0.0000 0.0000 0.0000  4 Al 2.67
3 Se 0.2500 0.7500 0.5000  4 Cd 2.67
4 Cd 0.7500 0.2500 0.5000  4 Se 2.67

=====

Record 2
BaNaRuPt2 | PBE | relaxed

Computed properties:
Fermi-level density of states   1.07 states/eV per atom
E_form   458 meV/atom
SG   P4/mmm
E   -22.31 eV for the cell shown

a = 5.0093 Å, b = 5.4493 Å, c = 5.0093 Å
α = 90.00°, β = 90.00°, γ = 90.00°
With the nearest neighbours (Å) after each atom.
Fractional coordinates of all 5 atoms:
1 Ru 0.0000 0.0000 0.0000  4 Pt 2.50, 2 Ba 2.72
2 Ba 0.0000 0.5000 0.0000  2 Ru 2.72
3 Pt 0.0000 0.0000 0.5000  2 Ru 2.50
4 Pt 0.5000 0.0000 0.0000  2 Ru 2.50
5 Na 0.5000 0.5000 0.5000  4 Ba 3.54, 8 Pt 3.70

=====

Record 3
SrAgSb | PBE | relaxed

Computed properties:
E_form (uncorrected)   -0.5871 eV per atom
SG   Cmcm
E   -20.83 eV for the cell shown

a = 5.3235 Å, b = 5.3235 Å, c = 6.7642 Å
α = 90.00°, β = 90.00°, γ = 75.67°
With the nearest neighbours (Å) after each atom.
Fractional coordinates of all 6 atoms:
1 Sr 0.6565 0.1565 0.2500  2 Ag 3.35, 5 Sb 3.37-3.46
2 Sr 0.3435 0.8435 0.7500  2 Ag 3.35, 5 Sb 3.37-3.46
3 Ag 0.0000 0.5000 0.5000  2 Sb 2.74
4 Ag 0.0000 0.5000 0.0000  2 Sb 2.74
5 Sb 0.7444 0.2444 0.7500  2 Ag 2.74
6 Sb 0.2556 0.7556 0.2500  2 Ag 2.74

=====

Record 4
Li2Zn3Pd2 | PBE | relaxed

Computed properties:
Fermi-level density of states   0.29 states/eV per atom
E_form   -394 meV/atom
Polymorph energy (0 for the lowest one)   9 meV/atom
SG   Pbam
E   -41.59 eV for the cell shown

a = 6.5722 Å, b = 7.9651 Å, c = 4.1562 Å
α = 90.00°, β = 89.97°, γ = 90.00°
With the nearest neighbours (Å) after each atom.
Fractional coordinates of all 14 atoms:
1 Li 0.7494 0.7503 0.0000  2 Zn 2.58, 4 Pd 2.67-2.68
2 Li 0.2494 0.7497 0.0000  2 Zn 2.58, 4 Pd 2.67-2.68
3 Li 0.7506 0.2503 0.0000  2 Zn 2.58, 4 Pd 2.67-2.68
4 Li 0.2506 0.2497 0.0000  2 Zn 2.58, 4 Pd 2.67-2.68
5 Zn 0.5000 0.5000 0.0000  4 Li 2.58, 4 Pd 2.64
6 Zn 0.0000 0.0000 0.0000  4 Li 2.58, 4 Pd 2.64
7 Zn 0.6889 0.0001 0.5008  1 Zn 2.48, 4 Pd 2.61-2.67
8 Zn 0.8111 0.5001 0.4992  1 Zn 2.48, 4 Pd 2.61-2.67
9 Zn 0.1889 0.4999 0.5008  1 Zn 2.48, 4 Pd 2.61-2.67
10 Zn 0.3111 0.9999 0.4992  1 Zn 2.48, 4 Pd 2.61-2.67
11 Pd 0.5002 0.2964 0.5000  6 Zn 2.61-2.67, 4 Li 2.67-2.68
12 Pd 0.9998 0.7964 0.5000  6 Zn 2.61-2.67, 4 Li 2.67-2.68
13 Pd 0.0002 0.2036 0.5000  6 Zn 2.61-2.67, 4 Li 2.67-2.68
14 Pd 0.4998 0.7036 0.5000  6 Zn 2.61-2.67, 4 Li 2.67-2.68